KW3 | GGA-PBE | relaxed

The structure in CIF format:
```
data_KW3
_chemical_formula_sum 'K1 W3'
_space_group_name_H-M_alt 'P 1'
_space_group_IT_number 1
_space_group_name_Hall 'P 1'
_cell_length_a 5.676
_cell_length_b 5.676
_cell_length_c 2.637
_cell_angle_alpha 90.00
_cell_angle_beta 90.00
_cell_angle_gamma 119.29
loop_
_atom_site_label
_atom_site_fract_x
_atom_site_fract_y
_atom_site_fract_z
_atom_site_occupancy
W1 0.000 0.500 0.500 1
W2 0.500 0.000 0.500 1
K1 0.000 0.000 0.000 1
W3 0.500 0.500 0.000 1
```

Output
E_form   1.64 eV/atom
Space group   Cmmm
Mass density   13.2 Mg/m³
Raw total energy   -33.40 eV/cell
Energy relative to the lowest polymorph listed for this composition   2.49 eV per formula unit